Entry 1:
! ErReOs (PBE-GGA, relaxed); values from VASP
! * total magnetic moment: 0.0 μB/cell
! * DOS(E_F): 10.3 states/eV/cell
! * raw total energy: -9.73 eV per atom
! * DFT formation energy: -311.5 meV per atom
! * SG: Amm2
&SYSTEM
  ibrav = 0, nat = 12, ntyp = 3
/
ATOMIC_SPECIES
Er 167.26 Er.upf
Re 186.21 Re.upf
Os 190.23 Os.upf
CELL_PARAMETERS angstrom
5.434 -0.105 0.000
-2.724 4.703 0.000
0.000 0.000 8.631
ATOMIC_POSITIONS crystal
Er 0.665 0.335 0.687
Er 0.333 0.667 0.818
Er 0.333 0.667 0.182
Er 0.665 0.335 0.313
Re 0.996 0.004 0.753
Re 0.996 0.004 0.247
Re 0.171 0.340 0.500
Re 0.660 0.829 0.500
Os 0.176 0.824 0.500
Os 0.829 0.653 0.000
Os 0.347 0.171 0.000
Os 0.829 0.171 0.000

Entry 2:
! ErReOs (PBE-GGA, relaxed); values from VASP
! * total magnetic moment: 0.0 μB/cell
! * DOS(E_F): 3.3 states/eV/cell
! * raw total energy: -9.59 eV per atom
! * DFT formation energy: -180.4 meV per atom
! * SG: C2/m
&SYSTEM
  ibrav = 0, nat = 6, ntyp = 3
/
ATOMIC_SPECIES
Os 190.23 Os.upf
Re 186.21 Re.upf
Er 167.26 Er.upf
CELL_PARAMETERS angstrom
-2.199 -3.435 1.536
3.447 -4.157 1.822
-0.819 0.193 5.443
ATOMIC_POSITIONS crystal
Os 0.332 0.230 0.105
Os 0.668 0.770 0.895
Re 0.659 0.428 0.254
Re 0.341 0.572 0.746
Er 0.934 0.817 0.315
Er 0.066 0.183 0.685

Entry 3:
! Er6OsRh3 (PBE-GGA, relaxed); values from VASP
! * total magnetic moment: 0.0 μB/cell
! * DOS(E_F): 11.0 states/eV/cell
! * raw total energy: -6.63 eV per atom
! * DFT formation energy: -560.4 meV per atom
! * SG: Pnnm
&SYSTEM
  ibrav = 0, nat = 20, ntyp = 3
/
ATOMIC_SPECIES
Er 167.26 Er.upf
Os 190.23 Os.upf
Rh 102.91 Rh.upf
CELL_PARAMETERS angstrom
-3.291 -3.068 -1.442
1.029 -4.331 6.868
-8.315 6.428 5.299
ATOMIC_POSITIONS crystal
Er 0.500 0.162 0.915
Er 0.500 0.171 0.581
Er 0.500 0.498 0.249
Er 0.500 0.502 0.751
Er 0.500 0.829 0.419
Er 0.500 0.838 0.085
Er 0.000 0.338 0.415
Er 0.000 0.329 0.081
Er 0.000 0.002 0.749
Er 0.000 0.998 0.251
Er 0.000 0.671 0.919
Er 0.000 0.662 0.585
Os 0.500 0.500 0.500
Os 0.000 0.000 0.000
Rh 0.500 0.836 0.665
Rh 0.500 0.500 0.000
Rh 0.500 0.164 0.335
Rh 0.000 0.664 0.165
Rh 0.000 0.000 0.500
Rh 0.000 0.336 0.835

Entry 4:
! Er8OsRh2 (PBE-GGA, relaxed); values from VASP
! * total magnetic moment: 0.0 μB/cell
! * DOS(E_F): 10.5 states/eV/cell
! * raw total energy: -6.05 eV per atom
! * DFT formation energy: -376.1 meV per atom
! * SG: Cm
&SYSTEM
  ibrav = 0, nat = 11, ntyp = 3
/
ATOMIC_SPECIES
Er 167.26 Er.upf
Os 190.23 Os.upf
Rh 102.91 Rh.upf
CELL_PARAMETERS angstrom
5.796 0.041 -0.985
-1.942 6.646 -2.883
-0.129 -0.201 7.496
ATOMIC_POSITIONS crystal
Er 0.575 0.339 0.084
Er 0.575 0.084 0.339
Er 0.168 0.357 0.357
Er 0.989 0.210 0.787
Er 0.989 0.787 0.210
Er 0.809 0.646 0.646
Er 0.385 0.925 0.671
Er 0.385 0.671 0.925
Os 0.147 0.999 0.999
Rh 0.488 0.697 0.319
Rh 0.488 0.319 0.697

Entry 5:
! Er6OsRh5 (PBE-GGA, relaxed); values from VASP
! * total magnetic moment: 0.0 μB/cell
! * DOS(E_F): 4.3 states/eV/cell
! * raw total energy: -7.10 eV per atom
! * DFT formation energy: -823.5 meV per atom
! * SG: Cmmm
&SYSTEM
  ibrav = 0, nat = 12, ntyp = 3
/
ATOMIC_SPECIES
Rh 102.91 Rh.upf
Os 190.23 Os.upf
Er 167.26 Er.upf
CELL_PARAMETERS angstrom
0.303 -4.387 1.947
6.301 -0.588 -2.305
2.660 0.697 7.094
ATOMIC_POSITIONS crystal
Rh 0.667 0.500 0.665
Rh 0.333 0.000 0.335
Rh 0.000 0.500 0.000
Rh 0.667 0.000 0.665
Rh 0.333 0.500 0.335
Os 0.000 0.000 0.000
Er 0.834 0.751 0.331
Er 0.834 0.249 0.331
Er 0.500 0.248 0.000
Er 0.500 0.752 0.000
Er 0.166 0.751 0.669
Er 0.166 0.249 0.669

Entry 6:
! Er7Os2Rh2 (PBE-GGA, relaxed); values from VASP
! * total magnetic moment: 0.0 μB/cell
! * DOS(E_F): 7.4 states/eV/cell
! * raw total energy: -6.56 eV per atom
! * DFT formation energy: -276.2 meV per atom
! * SG: Cmmm
&SYSTEM
  ibrav = 0, nat = 11, ntyp = 3
/
ATOMIC_SPECIES
Er 167.26 Er.upf
Os 190.23 Os.upf
Rh 102.91 Rh.upf
CELL_PARAMETERS angstrom
-1.602 4.071 4.668
-5.931 -3.272 0.813
3.074 -4.900 2.734
ATOMIC_POSITIONS crystal
Er 0.000 0.277 0.500
Er 0.500 0.723 0.000
Er 0.000 0.723 0.500
Er 0.500 0.277 0.000
Er 0.000 0.000 0.000
Er 0.500 0.737 0.500
Er 0.500 0.263 0.500
Os 0.830 0.500 0.830
Os 0.170 0.500 0.170
Rh 0.715 0.000 0.285
Rh 0.285 0.000 0.715